No. 1
This record from the Alexandria database describes CeDy4Y10 after structural relaxation. The functional is PBE.

The calculation puts the total energy at -77.50 eV per formula unit. The mass density is 4.9 Mg/m³.

a b c (Å): 9.427 9.427 9.427
angles (deg): 99.57 99.57 131.86
Positions (direct):
Ce1 0.000 0.000 0.000
Dy1 0.201 0.399 0.600
Dy2 0.399 0.799 0.199
Dy3 0.601 0.201 0.801
Dy4 0.799 0.601 0.400
Y1 0.049 0.347 0.900
Y2 0.149 0.049 0.702
Y3 0.250 0.750 0.500
Y4 0.347 0.447 0.298
Y5 0.447 0.149 0.100
Y6 0.553 0.851 0.900
Y7 0.653 0.553 0.702
Y8 0.750 0.250 0.500
Y9 0.851 0.951 0.298
Y10 0.951 0.653 0.100

***

No. 2
This record from the Alexandria database describes CeDy2Y4 after structural relaxation. The functional is PBE.

The calculation puts the total energy at -39.67 eV per formula unit. The mass density is 6.0 Mg/m³.

a b c (Å): 5.599 5.599 16.785
angles (deg): 90.00 90.00 119.66
Positions (direct):
Ce1 0.004 0.996 0.750
Ce2 0.996 0.004 0.250
Dy1 0.335 0.665 0.556
Dy2 0.335 0.665 0.944
Dy3 0.665 0.335 0.056
Dy4 0.665 0.335 0.444
Y1 0.000 0.000 0.000
Y2 0.000 0.000 0.500
Y3 0.330 0.670 0.146
Y4 0.330 0.670 0.354
Y5 0.337 0.663 0.750
Y6 0.663 0.337 0.250
Y7 0.670 0.330 0.646
Y8 0.670 0.330 0.854

***

No. 3
This record from the Alexandria database describes CeDyYZr after structural relaxation. The functional is PBE.

The calculation puts the total energy at -24.62 eV per formula unit. The mass density is 6.9 Mg/m³.

a b c (Å): 5.484 5.484 5.484
angles (deg): 60.00 60.00 60.00
Positions (direct):
Ce1 0.000 0.000 0.000
Dy1 0.250 0.250 0.250
Y1 0.500 0.500 0.500
Zr1 0.750 0.750 0.750

***

No. 4
This record from the Alexandria database describes Ce3DyZn4 after structural relaxation. The functional is PBE.

The calculation puts the total energy at -29.19 eV per formula unit. The mass density is 7.5 Mg/m³.

a b c (Å): 10.215 7.205 5.109
angles (deg): 90.00 90.00 90.00
Positions (direct):
Ce1 0.000 0.000 0.000
Ce2 0.250 0.000 0.498
Ce3 0.250 0.500 0.498
Ce4 0.500 0.000 0.000
Ce5 0.750 0.000 0.502
Ce6 0.750 0.500 0.502
Dy1 0.000 0.500 0.000
Dy2 0.500 0.500 0.000
Zn1 0.000 0.258 0.500
Zn2 0.000 0.742 0.500
Zn3 0.250 0.258 0.998
Zn4 0.250 0.742 0.998
Zn5 0.500 0.258 0.500
Zn6 0.500 0.742 0.500
Zn7 0.750 0.258 0.002
Zn8 0.750 0.742 0.002

***

No. 5
This record from the Alexandria database describes CeDy4Zn after structural relaxation. The functional is PBE.

The calculation puts the total energy at -26.05 eV per formula unit. The mass density is 8.4 Mg/m³.

a b c (Å): 3.549 3.549 13.494
angles (deg): 90.00 90.00 90.00
Positions (direct):
Ce1 0.000 0.000 0.000
Dy1 0.000 0.000 0.369
Dy2 0.000 0.000 0.631
Dy3 0.500 0.500 0.179
Dy4 0.500 0.500 0.821
Zn1 0.500 0.500 0.500

***

No. 6
This record from the Alexandria database describes Ce5DyZn6 after structural relaxation. The functional is PBE.

The calculation puts the total energy at -44.56 eV per formula unit. The mass density is 7.7 Mg/m³.

a b c (Å): 8.608 8.608 5.221
angles (deg): 107.04 107.04 47.97
Positions (direct):
Ce1 0.000 0.000 0.000
Ce2 0.166 0.166 0.577
Ce3 0.317 0.317 0.402
Ce4 0.683 0.683 0.598
Ce5 0.834 0.834 0.423
Dy1 0.500 0.500 0.000
Zn1 0.097 0.568 0.929
Zn2 0.275 0.725 0.500
Zn3 0.432 0.903 0.071
Zn4 0.568 0.097 0.929
Zn5 0.725 0.275 0.500
Zn6 0.903 0.432 0.071

***

No. 7
This record from the Alexandria database describes Ce4DyZn5 after structural relaxation. The functional is PBE.

The calculation puts the total energy at -36.76 eV per formula unit. The mass density is 7.8 Mg/m³.

a b c (Å): 3.222 3.222 21.484
angles (deg): 90.00 90.00 90.00
Positions (direct):
Ce1 0.000 0.000 0.101
Ce2 0.000 0.000 0.305
Ce3 0.000 0.000 0.695
Ce4 0.000 0.000 0.899
Dy1 0.000 0.000 0.500
Zn1 0.500 0.500 0.000
Zn2 0.500 0.500 0.203
Zn3 0.500 0.500 0.405
Zn4 0.500 0.500 0.595
Zn5 0.500 0.500 0.797

***

No. 8
This record from the Alexandria database describes CeDyZn10 after structural relaxation. The functional is PBE.

The calculation puts the total energy at -26.42 eV per formula unit. The mass density is 7.6 Mg/m³.

a b c (Å): 4.238 5.342 9.222
angles (deg): 90.00 90.00 90.00
Positions (direct):
Ce1 0.000 0.000 0.000
Dy1 0.000 0.500 0.500
Zn1 0.000 0.000 0.338
Zn2 0.000 0.000 0.662
Zn3 0.000 0.500 0.171
Zn4 0.000 0.500 0.829
Zn5 0.500 0.000 0.500
Zn6 0.500 0.249 0.250
Zn7 0.500 0.249 0.750
Zn8 0.500 0.500 0.000
Zn9 0.500 0.751 0.250
Zn10 0.500 0.751 0.750

***

No. 9
This record from the Alexandria database describes CeDy2Zn3 after structural relaxation. The functional is PBE.

The calculation puts the total energy at -20.66 eV per formula unit. The mass density is 8.0 Mg/m³.

a b c (Å): 3.558 3.558 10.902
angles (deg): 90.00 90.00 90.00
Positions (direct):
Ce1 0.000 0.000 0.000
Dy1 0.000 0.000 0.337
Dy2 0.000 0.000 0.663
Zn1 0.500 0.500 0.176
Zn2 0.500 0.500 0.500
Zn3 0.500 0.500 0.824

***

No. 10
This record from the Alexandria database describes CeDyZn after structural relaxation. The functional is PBE.

The calculation puts the energy above the most stable polymorph in this dataset at 0.2670 eV per atom. The mass density is 8.8 Mg/m³.

a b c (Å): 5.186 5.186 2.996
angles (deg): 90.00 90.00 120.00
Positions (direct):
Ce1 0.000 0.000 0.000
Dy1 0.333 0.667 0.000
Zn1 0.667 0.333 0.500

***

No. 11
This record from the Alexandria database describes CeDyZn after structural relaxation. The functional is PBE.

The calculation puts the energy above the most stable polymorph in this dataset at 0.0000 eV per atom. The mass density is 8.2 Mg/m³.

a b c (Å): 8.562 8.562 5.144
angles (deg): 90.00 90.00 156.70
Positions (direct):
Ce1 0.228 0.772 0.750
Ce2 0.772 0.228 0.250
Dy1 0.078 0.922 0.250
Dy2 0.922 0.078 0.750
Zn1 0.428 0.572 0.250
Zn2 0.572 0.428 0.750

***

No. 12
This record from the Alexandria database describes Ce2DyZn8 after structural relaxation. The functional is PBE.

The calculation puts the total energy at -29.35 eV per formula unit. The mass density is 7.4 Mg/m³.

a b c (Å): 8.270 8.270 4.839
angles (deg): 106.99 106.99 123.57
Positions (direct):
Ce1 0.193 0.807 0.000
Ce2 0.807 0.193 0.000
Dy1 0.500 0.500 0.500
Zn1 0.000 0.000 0.251
Zn2 0.000 0.000 0.749
Zn3 0.165 0.398 0.781
Zn4 0.303 0.697 0.500
Zn5 0.398 0.165 0.781
Zn6 0.602 0.835 0.219
Zn7 0.697 0.303 0.500
Zn8 0.835 0.602 0.219

***

No. 13
This record from the Alexandria database describes CeDyZn2 after structural relaxation. The functional is PBE.

The calculation puts the energy above the most stable polymorph in this dataset at 0.0000 eV per atom. The mass density is 7.8 Mg/m³.

a b c (Å): 3.543 3.543 7.386
angles (deg): 90.00 90.00 90.00
Positions (direct):
Ce1 0.000 0.000 0.000
Dy1 0.000 0.000 0.500
Zn1 0.500 0.500 0.264
Zn2 0.500 0.500 0.736

***

No. 14
This record from the Alexandria database describes CeDyZn after structural relaxation. The functional is PBE.

The calculation puts the energy above the most stable polymorph in this dataset at 0.0300 eV per atom. The mass density is 7.8 Mg/m³.

a b c (Å): 6.685 6.685 6.685
angles (deg): 149.17 149.17 44.16
Positions (direct):
Ce1 0.000 0.000 0.000
Dy1 0.706 0.706 0.000
Zn1 0.346 0.346 0.000

***

No. 15
This record from the Alexandria database describes Ce2Dy3Zn3 after structural relaxation. The functional is PBE.

The calculation puts the total energy at -31.13 eV per formula unit. The mass density is 8.2 Mg/m³.

a b c (Å): 11.354 11.354 11.354
angles (deg): 162.28 154.03 31.61
Positions (direct):
Ce1 0.233 0.233 0.000
Ce2 0.767 0.767 0.000
Dy1 0.000 0.000 0.000
Dy2 0.383 0.883 0.500
Dy3 0.617 0.117 0.500
Zn1 0.114 0.614 0.500
Zn2 0.500 0.500 0.000
Zn3 0.886 0.386 0.500

***

No. 16
This record from the Alexandria database describes CeDyZn3 after structural relaxation. The functional is PBE.

The calculation puts the total energy at -15.77 eV per formula unit. The mass density is 7.6 Mg/m³.

a b c (Å): 13.836 13.836 4.575
angles (deg): 90.00 90.00 165.63
Positions (direct):
Ce1 0.073 0.927 0.750
Ce2 0.927 0.073 0.250
Dy1 0.210 0.790 0.250
Dy2 0.790 0.210 0.750
Zn1 0.327 0.673 0.250
Zn2 0.380 0.620 0.750
Zn3 0.476 0.524 0.750
Zn4 0.524 0.476 0.250
Zn5 0.620 0.380 0.250
Zn6 0.673 0.327 0.750

***

No. 17
This record from the Alexandria database describes Ce2DyZn4 after structural relaxation. The functional is PBE.

The calculation puts the total energy at -22.01 eV per formula unit. The mass density is 6.8 Mg/m³.

a b c (Å): 7.513 7.513 5.091
angles (deg): 109.74 109.74 39.61
Positions (direct):
Ce1 0.229 0.229 0.229
Ce2 0.771 0.771 0.771
Dy1 0.500 0.500 0.500
Zn1 0.106 0.106 0.607
Zn2 0.394 0.394 0.894
Zn3 0.606 0.606 0.106
Zn4 0.894 0.894 0.393

***

No. 18
This record from the Alexandria database describes CeDyZn2 after structural relaxation. The functional is PBE.

The calculation puts the energy above the most stable polymorph in this dataset at 0.2052 eV per atom. The mass density is 7.3 Mg/m³.

a b c (Å): 9.598 9.598 9.598
angles (deg): 20.85 20.85 20.85
Positions (direct):
Ce1 0.000 0.000 0.000
Dy1 0.500 0.500 0.500
Zn1 0.247 0.247 0.247
Zn2 0.753 0.753 0.753

***

No. 19
This record from the Alexandria database describes Ce2DyZn3 after structural relaxation. The functional is PBE.

The calculation puts the total energy at -21.66 eV per formula unit. The mass density is 7.6 Mg/m³.

a b c (Å): 3.564 3.564 11.007
angles (deg): 90.00 90.00 90.00
Positions (direct):
Ce1 0.000 0.000 0.169
Ce2 0.000 0.000 0.831
Dy1 0.000 0.000 0.500
Zn1 0.500 0.500 0.000
Zn2 0.500 0.500 0.342
Zn3 0.500 0.500 0.658

***

No. 20
This record from the Alexandria database describes CeDy2Zn6 after structural relaxation. The functional is PBE.

The calculation puts the total energy at -25.85 eV per formula unit. The mass density is 7.8 Mg/m³.

a b c (Å): 7.818 7.818 3.469
angles (deg): 90.00 90.00 120.00
Positions (direct):
Ce1 0.000 0.000 0.000
Dy1 0.333 0.667 0.000
Dy2 0.667 0.333 0.000
Zn1 0.000 0.337 0.500
Zn2 0.000 0.663 0.500
Zn3 0.337 0.000 0.500
Zn4 0.337 0.337 0.500
Zn5 0.663 0.000 0.500
Zn6 0.663 0.663 0.500